(1)
This record from Alexandria describes a relaxed structure of TbEr2Al. The functional is PBE.

Output
As for the formation enthalpy at 0 K: 109 meV per atom. The value obtained for the excess energy over the best structure of this formula in the dataset is 1.23 eV/f.u. The final energy comes out at -17.06 eV per formula unit. The magnetization comes out at 0.77 μB/f.u. Its space-group type is R-3m (166).

```
TbEr2Al
1.0
-0.235 3.392 0.442
-2.487 1.304 1.966
5.937 0.850 9.936
Tb Al Er
1 1 2
direct
0.000 0.000 0.000
0.500 0.500 0.500
0.900 0.900 0.301
0.100 0.100 0.699
```

=====

(2)
This record from Alexandria describes a relaxed structure of Nd4Np. The functional is PBE.

Output
As for the formation enthalpy at 0 K: 648 meV per atom. The final energy comes out at -28.77 eV per formula unit. The magnetization comes out at 6.65 μB/f.u. Its space-group type is Pm-3m (221).

```
Nd4Np
1.0
-0.306 4.393 3.657
-0.072 -3.665 4.397
5.716 0.189 0.251
Nd Np
4 1
direct
0.000 0.000 0.000
0.000 0.500 0.500
0.500 0.500 0.000
0.500 0.000 0.500
0.500 0.500 0.500
```

=====

(3)
This record from Alexandria describes a relaxed structure of LiCr2Pb. The functional is PBE.

Output
As for the formation enthalpy at 0 K: 786 meV per atom. The final energy comes out at -21.72 eV per formula unit. The magnetization comes out at 8.77 μB/f.u. Its space-group type is R-3m (166).

```
LiCr2Pb
1.0
-1.325 -9.006 3.798
1.776 -8.637 4.421
-0.402 -7.469 6.430
Pb Cr Li
1 2 1
direct
0.750 0.750 0.750
0.504 0.504 0.504
0.996 0.996 0.996
0.250 0.250 0.250
```

=====

(4)
This record from Alexandria describes a relaxed structure of ScPBr2. The functional is PBE.

Output
The value obtained for the excess energy over the best structure of this formula in the dataset is 2.50 eV/f.u. The final energy comes out at -16.39 eV per formula unit. The magnetization comes out at 0.00 μB/f.u. The formation energy (no corrections) comes out at -0.3269 eV per atom. Its space-group type is C2/m (12).

```
ScPBr2
1.0
4.657 3.188 0.041
-4.657 3.188 0.041
0.000 3.129 3.208
Sc Br P
1 2 1
direct
0.500 0.500 0.000
0.500 0.000 0.000
0.000 0.500 0.000
0.000 0.000 0.000
```